1.
Density functional theory data (GGA-PBEsol) for a relaxed structure of Rb2MoP2O9.

Computed properties:
**Spin magnetization**: 0.000 μB per formula unit
**E_tot**: -7.409 eV per atom
**Formation energy without anion corrections**: -2220 meV/atom

a = 14.2339 Å, b = 8.2384 Å, c = 15.6926 Å
α = 90.00°, β = 98.33°, γ = 90.00°
With the nearest neighbours (Å) after each atom.
Space group C2/c (No. 15)
Unique sites:
Rb (0.1429, 0.0819, 0.4794) [8 per cell]  6 O 2.87-3.12
Rb (0.1477, 0.1588, 0.7393) [8 per cell]  6 O 2.81-2.99
Mo (0.1124, 0.3621, 0.1346) [8 per cell]  2 O 1.70-1.71
P (0.0362, 0.3062, 0.9241) [8 per cell]  4 O 1.50-1.62
P (0.1232, 0.4208, 0.3424) [8 per cell]  4 O 1.50-1.62
O (0.0255, 0.1521, 0.8729) [8 per cell]  1 P 1.50
O (0.0334, 0.3267, 0.3536) [8 per cell]  1 P 1.53
O (0.0521, 0.4127, 0.5828) [8 per cell]  1 P 1.52
O (0.0718, 0.2637, 0.0201) [8 per cell]  1 P 1.56
O (0.1187, 0.4818, 0.2474) [8 per cell]  1 P 1.56
O (0.1226, 0.4103, 0.8952) [8 per cell]  2 P 1.62
O (0.1440, 0.1822, 0.1840) [8 per cell]  1 Mo 1.70
O (0.2138, 0.3360, 0.3765) [8 per cell]  1 P 1.50
O (0.2185, 0.4353, 0.1122) [8 per cell]  1 Mo 1.71


2.
Density functional theory data (GGA-PBEsol) for a relaxed structure of RbMoP2O7.

Computed properties:
**Spin magnetization**: 3.000 μB per formula unit
**E_tot**: -7.649 eV per atom
**Formation energy without anion corrections**: -2092 meV/atom

a = 7.5224 Å, b = 10.3731 Å, c = 8.4353 Å
α = 90.00°, β = 106.20°, γ = 90.00°
With the nearest neighbours (Å) after each atom.
Space group P2_1/c (No. 14)
Unique sites:
Rb (0.1835, 0.1782, 0.0559) [4 per cell]  7 O 2.85-3.15
Mo (0.2359, 0.5997, 0.2603) [4 per cell]  6 O 2.05-2.11
P (0.1308, 0.5996, 0.8286) [4 per cell]  4 O 1.50-1.62
P (0.4380, 0.6359, 0.6916) [4 per cell]  4 O 1.52-1.63
O (0.0003, 0.0006, 0.7785) [4 per cell]  1 P 1.53
O (0.0795, 0.7339, 0.7525) [4 per cell]  1 P 1.54
O (0.1384, 0.5939, 0.0082) [4 per cell]  1 P 1.50
O (0.3212, 0.6040, 0.5180) [4 per cell]  1 P 1.52
O (0.3348, 0.5640, 0.8131) [4 per cell]  2 P 1.62-1.63
O (0.3665, 0.0803, 0.7629) [4 per cell]  1 P 1.53
O (0.4507, 0.7204, 0.2372) [4 per cell]  1 P 1.54


3.
Density functional theory data (GGA-PBEsol) for a relaxed structure of Rb2TeMo2P2O14.

Computed properties:
**Spin magnetization**: 0.000 μB per formula unit
**E_tot**: -7.454 eV per atom
**Formation energy without anion corrections**: -2017 meV/atom

a = 12.5396 Å, b = 8.9488 Å, c = 11.2667 Å
α = 90.00°, β = 90.00°, γ = 90.00°
With the nearest neighbours (Å) after each atom.
Space group Pbcn (No. 60)
Unique sites:
Rb (0.1877, 0.0303, 0.2189) [8 per cell]  9 O 2.84-3.18
Te (0.0000, 0.3735, 0.7500) [4 per cell]  2 O 1.88
Mo (0.1206, 0.2427, 0.4822) [8 per cell]  2 O 1.70-1.71
P (0.1310, 0.3611, 0.0050) [8 per cell]  4 O 1.53-1.56
O (0.0318, 0.2801, 0.0554) [8 per cell]  1 P 1.55
O (0.0715, 0.2310, 0.6562) [8 per cell]  1 Te 1.88, 1 Mo 2.06
O (0.1162, 0.0553, 0.4571) [8 per cell]  1 Mo 1.70
O (0.1310, 0.4779, 0.5515) [8 per cell]  1 P 1.53
O (0.1318, 0.3532, 0.8675) [8 per cell]  1 P 1.55
O (0.1628, 0.3125, 0.3487) [8 per cell]  1 Mo 1.71
O (0.2299, 0.2748, 0.0521) [8 per cell]  1 P 1.56


4.
Density functional theory data (GGA-PBEsol) for a relaxed structure of MoPS2O.

Computed properties:
**Spin magnetization**: 0.657 μB per formula unit
**E_tot**: -5.709 eV per atom
**Formation energy without anion corrections**: 607 meV/atom

a = 4.1510 Å, b = 4.1510 Å, c = 3.8366 Å
α = 90.00°, β = 90.00°, γ = 90.00°
With the nearest neighbours (Å) after each atom.
Space group P4/mmm (No. 123)
Unique sites:
Mo (0.0000, 0.0000, 0.0000) [1 per cell]  8 S 2.83, 4 P 2.94
P (0.5000, 0.5000, 0.0000) [1 per cell]  2 O 1.92
S (0.0000, 0.5000, 0.5000) [2 per cell]  2 O 2.08
O (0.5000, 0.5000, 0.5000) [1 per cell]  2 P 1.92, 4 S 2.08